Entry 1:
Entry from Alexandria via LeMat-Bulk: an optimized crystal structure of GaSiAu2 (GGA-PBEsol).

abc: 4.1788 4.1788 16.3688
angles: 90.00 90.00 90.00
Atoms (fractional coordinates):
Ga 0.0000 0.0000 0.0000
Ga 0.0000 0.5000 0.2500
Ga 0.5000 0.0000 0.7500
Ga 0.5000 0.5000 0.5000
Si 0.0000 0.0000 0.5000
Si 0.0000 0.5000 0.7500
Si 0.5000 0.0000 0.2500
Si 0.5000 0.5000 0.0000
Au 0.2362 0.2500 0.6250
Au 0.2500 0.7362 0.8750
Au 0.2500 0.7638 0.3750
Au 0.2638 0.2500 0.1250
Au 0.7362 0.7500 0.1250
Au 0.7500 0.2362 0.3750
Au 0.7500 0.2638 0.8750
Au 0.7638 0.7500 0.6250

Properties
calculated volume = 286 Å³/cell
uncorrected formation energy = -66 meV per atom
crystal system = tetragonal
Fermi-level density of states = 0.29 states/eV per atom
space-group type = I-42d, No. 122
E_tot = -4.30 eV/atom
size of the total moment = 0.0 μB/cell

Entry 2:
Entry from Alexandria via LeMat-Bulk: an optimized crystal structure of Ga2SnAu2 (GGA-PBEsol).

abc: 3.9451 3.9451 12.3588
angles: 90.00 90.00 90.00
Atoms (fractional coordinates):
Ga 0.0000 0.5000 0.2500
Ga 0.0000 0.5000 0.7500
Ga 0.5000 0.0000 0.2500
Ga 0.5000 0.0000 0.7500
Sn 0.0000 0.0000 0.0000
Sn 0.5000 0.5000 0.5000
Au 0.0000 0.0000 0.3893
Au 0.0000 0.0000 0.6107
Au 0.5000 0.5000 0.1107
Au 0.5000 0.5000 0.8893

Properties
calculated volume = 192 Å³/cell
crystal system = tetragonal
Fermi-level density of states = 0.46 states/eV per atom
space-group type = I4/mmm, No. 139
E_tot = -3.91 eV/atom
ΔE to the lowest computed polymorph = 0.000 eV per atom
size of the total moment = 0.0 μB/cell

Entry 3:
Entry from Alexandria via LeMat-Bulk: an optimized crystal structure of Ga2SnAu2 (GGA-PBEsol).

abc: 4.4119 4.4119 10.2177
angles: 90.00 90.00 90.00
Atoms (fractional coordinates):
Ga 0.0000 0.0000 0.1189
Ga 0.0000 0.0000 0.8811
Ga 0.5000 0.5000 0.3811
Ga 0.5000 0.5000 0.6189
Sn 0.0000 0.0000 0.5000
Sn 0.5000 0.5000 0.0000
Au 0.0000 0.5000 0.2500
Au 0.0000 0.5000 0.7500
Au 0.5000 0.0000 0.2500
Au 0.5000 0.0000 0.7500

Properties
calculated volume = 199 Å³/cell
crystal system = tetragonal
Fermi-level density of states = 0.30 states/eV per atom
space-group type = I4/mmm, No. 139
E_tot = -3.85 eV/atom
ΔE to the lowest computed polymorph = 0.067 eV per atom
size of the total moment = 0.0 μB/cell

Entry 4:
Entry from Alexandria via LeMat-Bulk: an optimized crystal structure of TlGaSnAu2 (GGA-PBEsol).

abc: 4.8537 4.8537 5.2784
angles: 90.00 90.00 90.00
Atoms (fractional coordinates):
Tl 0.0000 0.0000 0.0000
Ga 0.5000 0.5000 0.5000
Sn 0.5000 0.5000 0.0000
Au 0.0000 0.5000 0.5000
Au 0.5000 0.0000 0.5000

Properties
calculated volume = 124 Å³/cell
crystal system = tetragonal
Fermi-level density of states = 0.31 states/eV per atom
space-group type = P4/mmm, No. 123
E_tot = -3.38 eV/atom
size of the total moment = 0.0 μB/cell

Entry 5:
Entry from Alexandria via LeMat-Bulk: an optimized crystal structure of Sr2GaAu2 (GGA-PBEsol).

abc: 6.0508 6.0508 7.6455
angles: 90.00 90.00 90.00
Atoms (fractional coordinates):
Sr 0.0000 0.5000 0.2500
Sr 0.0000 0.5000 0.7500
Sr 0.5000 0.0000 0.2500
Sr 0.5000 0.0000 0.7500
Ga 0.0000 0.0000 0.0000
Ga 0.5000 0.5000 0.5000
Au 0.0000 0.0000 0.3289
Au 0.0000 0.0000 0.6711
Au 0.5000 0.5000 0.1711
Au 0.5000 0.5000 0.8289

Properties
calculated volume = 280 Å³/cell
crystal system = tetragonal
Fermi-level density of states = 0.65 states/eV per atom
space-group type = I4/mmm, No. 139
E_tot = -3.44 eV/atom
size of the total moment = 0.0 μB/cell

Entry 6:
Entry from Alexandria via LeMat-Bulk: an optimized crystal structure of SrGa4Au3 (GGA-PBEsol).

abc: 4.3140 4.3140 8.6930
angles: 90.00 90.00 90.00
Atoms (fractional coordinates):
Sr 0.0000 0.0000 0.0000
Ga 0.0000 0.5000 0.3274
Ga 0.0000 0.5000 0.6726
Ga 0.5000 0.0000 0.3274
Ga 0.5000 0.0000 0.6726
Au 0.0000 0.0000 0.5000
Au 0.5000 0.5000 0.1574
Au 0.5000 0.5000 0.8426

Properties
calculated volume = 162 Å³/cell
crystal system = tetragonal
Fermi-level density of states = 0.37 states/eV per atom
space-group type = P4/mmm, No. 123
E_tot = -3.85 eV/atom
size of the total moment = 0.0 μB/cell

Entry 7:
Entry from Alexandria via LeMat-Bulk: an optimized crystal structure of Sr2YGaAu (GGA-PBEsol).

abc: 6.2901 6.2901 5.0763
angles: 90.00 90.00 90.00
Atoms (fractional coordinates):
Sr 0.0000 0.5000 0.0000
Sr 0.5000 0.0000 0.0000
Y 0.0000 0.0000 0.0000
Ga 0.5000 0.5000 0.5000
Au 0.0000 0.0000 0.5000

Properties
calculated volume = 201 Å³/cell
crystal system = tetragonal
Fermi-level density of states = 0.99 states/eV per atom
space-group type = P4/mmm, No. 123
E_tot = -2.92 eV/atom
size of the total moment = 0.0 μB/cell

Entry 8:
Entry from Alexandria via LeMat-Bulk: an optimized crystal structure of TbGaAu2 (GGA-PBEsol).

abc: 6.7425 6.7425 6.7425
angles: 90.00 90.00 90.00
Atoms (fractional coordinates):
Tb 0.0000 0.0000 0.0000
Tb 0.0000 0.5000 0.5000
Tb 0.5000 0.0000 0.5000
Tb 0.5000 0.5000 0.0000
Ga 0.0000 0.0000 0.5000
Ga 0.0000 0.5000 0.0000
Ga 0.5000 0.0000 0.0000
Ga 0.5000 0.5000 0.5000
Au 0.2500 0.2500 0.2500
Au 0.2500 0.2500 0.7500
Au 0.2500 0.7500 0.2500
Au 0.2500 0.7500 0.7500
Au 0.7500 0.2500 0.2500
Au 0.7500 0.2500 0.7500
Au 0.7500 0.7500 0.2500
Au 0.7500 0.7500 0.7500

Properties
calculated volume = 307 Å³/cell
crystal system = cubic
Fermi-level density of states = 0.45 states/eV per atom
space-group type = Fm-3m, No. 225
E_tot = -4.72 eV/atom
size of the total moment = 0.0 μB/cell

Entry 9:
Entry from Alexandria via LeMat-Bulk: an optimized crystal structure of TbGaAu (GGA-PBEsol).

abc: 10.3366 4.4318 7.0446
angles: 90.00 131.64 90.00
Atoms (fractional coordinates):
Tb 0.0389 0.0000 0.2997
Tb 0.4611 0.5000 0.7003
Tb 0.5389 0.5000 0.2997
Tb 0.9611 0.0000 0.7003
Ga 0.1576 0.5000 0.1021
Ga 0.3424 0.0000 0.8979
Ga 0.6576 0.0000 0.1021
Ga 0.8424 0.5000 0.8979
Au 0.1761 0.5000 0.7159
Au 0.3239 0.0000 0.2841
Au 0.6761 0.0000 0.7159
Au 0.8239 0.5000 0.2841

Properties
calculated volume = 241 Å³/cell
crystal system = monoclinic
Fermi-level density of states = 0.45 states/eV per atom
space-group type = C2/m, No. 12
E_tot = -4.93 eV/atom
size of the total moment = 0.0 μB/cell

Entry 10:
Entry from Alexandria via LeMat-Bulk: an optimized crystal structure of Tb3Ga8Au3 (GGA-PBEsol).

abc: 8.1662 8.1662 8.1662
angles: 149.68 109.08 79.04
Atoms (fractional coordinates):
Tb 0.0000 0.0000 0.0000
Tb 0.3062 0.3062 0.0000
Tb 0.6938 0.6938 0.0000
Ga 0.0335 0.6627 0.3708
Ga 0.1398 0.8593 0.2805
Ga 0.2919 0.6627 0.6292
Ga 0.4212 0.1407 0.2805
Ga 0.5788 0.8593 0.7195
Ga 0.7081 0.3373 0.3708
Ga 0.8602 0.1407 0.7195
Ga 0.9665 0.3373 0.6292
Au 0.2932 0.5000 0.7932
Au 0.5000 0.0000 0.5000
Au 0.7068 0.5000 0.2068

Properties
calculated volume = 255 Å³/cell
crystal system = orthorhombic
Fermi-level density of states = 0.19 states/eV per atom
space-group type = Immm, No. 71
E_tot = -4.44 eV/atom
size of the total moment = 0.0 μB/cell

Entry 11:
Entry from Alexandria via LeMat-Bulk: an optimized crystal structure of Ga3TeAu (GGA-PBEsol).

abc: 5.2337 5.2337 5.2337
angles: 90.00 90.00 90.00
Atoms (fractional coordinates):
Ga 0.0000 0.0000 0.5000
Ga 0.0000 0.5000 0.0000
Ga 0.5000 0.0000 0.0000
Te 0.0000 0.0000 0.0000
Au 0.5000 0.5000 0.5000

Properties
calculated volume = 143 Å³/cell
uncorrected formation energy = 844 meV per atom
crystal system = cubic
Fermi-level density of states = 0.36 states/eV per atom
space-group type = Pm-3m, No. 221
E_tot = -2.65 eV/atom
size of the total moment = 0.0 μB/cell

Entry 12:
Entry from Alexandria via LeMat-Bulk: an optimized crystal structure of TiGaAu3 (GGA-PBEsol).

abc: 4.9356 4.9356 4.9356
angles: 90.00 90.00 90.00
Atoms (fractional coordinates):
Ti 0.0000 0.0000 0.0000
Ga 0.5000 0.5000 0.5000
Au 0.0000 0.0000 0.5000
Au 0.0000 0.5000 0.0000
Au 0.5000 0.0000 0.0000

Properties
calculated volume = 120 Å³/cell
crystal system = cubic
Fermi-level density of states = 0.58 states/eV per atom
space-group type = Pm-3m, No. 221
E_tot = -4.01 eV/atom
size of the total moment = 0.9 μB/cell